# Er4TmIn4

An optimized crystal structure of Er4TmIn4 (PBE-GGA, Alexandria via LeMat-Bulk).

CIF file:
```
data_Er4TmIn4
_chemical_formula_sum 'Er8 Tm2 In8'
_cell_length_a 7.109
_cell_length_b 7.109
_cell_length_c 10.569
_cell_angle_alpha 90.00
_cell_angle_beta 90.00
_cell_angle_gamma 90.00
_space_group_name_H-M_alt 'P 42/n m c'
_space_group_IT_number 137
loop_
_space_group_symop_operation_xyz
'x,y,z'
'-x,-y,-z'
'-y+1/2,x,z+1/2'
'y+1/2,-x,-z+1/2'
'-x+1/2,-y+1/2,z'
'x+1/2,y+1/2,-z'
'y,-x+1/2,z+1/2'
'-y,x+1/2,-z+1/2'
'x+1/2,-y,-z'
'-x+1/2,y,z'
'-y,-x,-z+1/2'
'y,x,z+1/2'
'-x,y+1/2,-z'
'x,-y+1/2,z'
'y+1/2,x+1/2,-z+1/2'
'-y+1/2,-x+1/2,z+1/2'
loop_
_atom_site_label
_atom_site_fract_x
_atom_site_fract_y
_atom_site_fract_z
Er1 0.023 0.250 0.168
Tm1 0.250 0.750 0.250
In1 0.027 0.250 0.468
```

Computed properties:
energy of formation = -97 meV/atom
DFT total energy = -3.84 eV/atom